# 1
First-principles (PBE) data for an optimized crystal structure of PrMgAl2Ag2, as listed in the Alexandria database.

Geometry as POSCAR:
```
PrMgAl2Ag2
1.0
4.5148 0.0000 0.0000
-2.2574 3.9099 0.0000
0.0000 0.0000 7.2576
Pr Mg Al Ag
1 1 2 2
direct
0.0000 0.0000 0.0000 Pr
0.0000 0.0000 0.5000 Mg
0.3333 0.6667 0.7190 Al
0.6667 0.3333 0.2810 Al
0.3333 0.6667 0.3099 Ag
0.6667 0.3333 0.6901 Ag
```

Results
calculated total energy = -3.558 eV/atom
DOS at the Fermi energy = 0.468 states/eV per atom
calculated formation energy = -298 meV/atom
SG = No. 164

# 2
First-principles (PBE) data for an optimized crystal structure of Pr2MgAl4Ag3, as listed in the Alexandria database.

Geometry as POSCAR:
```
Pr2MgAl4Ag3
1.0
4.3606 0.0000 0.0000
0.0000 4.3606 0.0000
0.0000 0.0000 11.3976
Pr Mg Al Ag
2 1 4 3
direct
0.0000 0.5000 0.2426 Pr
0.5000 0.0000 0.7574 Pr
0.0000 0.0000 0.5000 Mg
0.0000 0.0000 0.0000 Al
0.0000 0.5000 0.6484 Al
0.5000 0.0000 0.3516 Al
0.5000 0.5000 0.0000 Al
0.0000 0.5000 0.8715 Ag
0.5000 0.0000 0.1285 Ag
0.5000 0.5000 0.5000 Ag
```

Results
calculated total energy = -3.791 eV/atom
DOS at the Fermi energy = 0.696 states/eV per atom
calculated formation energy = -323 meV/atom
SG = No. 115

# 3
First-principles (PBE) data for an optimized crystal structure of PrMgAlAg, as listed in the Alexandria database.

Geometry as POSCAR:
```
PrMgAlAg
1.0
0.0000 3.5753 3.5753
3.5753 0.0000 3.5753
3.5753 3.5753 0.0000
Pr Mg Al Ag
1 1 1 1
direct
0.0000 0.0000 0.0000 Pr
0.5000 0.5000 0.5000 Mg
0.7500 0.7500 0.7500 Al
0.2500 0.2500 0.2500 Ag
```

Results
calculated total energy = -3.529 eV/atom
DOS at the Fermi energy = 0.340 states/eV per atom
calculated formation energy = -287 meV/atom
SG = No. 216